Here is a relaxed BiMo3N2 crystal from OQMD. Energies are from PBE-GGA.

## Properties
Crystal system = hexagonal

Cell lengths 3.327, 3.327, 17.734 Å; angles 90.00, 90.00, 120.00 degrees
Positions (direct):
1 Bi 0.000 0.000 0.250
2 Bi 0.000 0.000 0.750
3 Mo 0.000 0.000 0.000
4 Mo 0.667 0.333 0.115
5 Mo 0.667 0.333 0.385
6 Mo 0.000 0.000 0.500
7 Mo 0.333 0.667 0.615
8 Mo 0.333 0.667 0.885
9 N 0.333 0.667 0.070
10 N 0.333 0.667 0.430
11 N 0.667 0.333 0.570
12 N 0.667 0.333 0.930

Here is a relaxed BaPrTl2Pd4 crystal from OQMD. Energies are from PBE-GGA.

## Properties
Crystal system = hexagonal

Cell lengths 4.743, 4.743, 9.989 Å; angles 90.00, 90.00, 120.00 degrees
Positions (direct):
1 Ba 0.667 0.333 0.500
2 Pd 0.667 0.333 0.151
3 Pd 0.333 0.667 0.295
4 Pd 0.333 0.667 0.705
5 Pd 0.667 0.333 0.849
6 Pr 0.333 0.667 0.000
7 Tl 0.000 0.000 0.233
8 Tl 0.000 0.000 0.767

Here is a relaxed TbCuAu crystal from OQMD. Energies are from PBE-GGA.

## Properties
Crystal system = cubic
ΔE_f = -0.396 eV per atom

Cell lengths 4.517, 4.517, 4.517 Å; angles 60.00, 60.00, 60.00 degrees
Positions (direct):
1 Au 0.250 0.250 0.250
2 Cu 0.000 0.000 0.000
3 Tb 0.750 0.750 0.750

Here is a relaxed TlCuTe3Pt crystal from OQMD. Energies are from PBE-GGA.

## Properties
Crystal system = orthorhombic

Cell lengths 4.155, 11.170, 14.307 Å; angles 90.00, 90.00, 90.00 degrees
Positions (direct):
1 Cu 0.250 0.748 0.203
2 Cu 0.750 0.248 0.297
3 Cu 0.250 0.752 0.703
4 Cu 0.750 0.252 0.797
5 Pt 0.250 0.355 0.040
6 Pt 0.750 0.855 0.460
7 Pt 0.250 0.145 0.540
8 Pt 0.750 0.645 0.960
9 Te 0.250 0.779 0.028
10 Te 0.750 0.491 0.104
11 Te 0.250 0.218 0.197
12 Te 0.750 0.718 0.303
13 Te 0.250 0.991 0.396
14 Te 0.750 0.279 0.472
15 Te 0.250 0.721 0.528
16 Te 0.750 0.009 0.604
17 Te 0.250 0.282 0.697
18 Te 0.750 0.782 0.803
19 Te 0.250 0.509 0.896
20 Te 0.750 0.221 0.972
21 Tl 0.750 0.981 0.158
22 Tl 0.250 0.481 0.342
23 Tl 0.750 0.519 0.658
24 Tl 0.250 0.019 0.842

Here is a relaxed AlNi4AsPd crystal from OQMD. Energies are from PBE-GGA.

## Properties
Crystal system = tetragonal

Cell lengths 3.699, 3.699, 6.519 Å; angles 90.00, 90.00, 90.00 degrees
Positions (direct):
1 Al 0.000 0.000 0.000
2 As 0.500 0.500 0.500
3 Ni 0.500 0.000 0.284
4 Ni 0.000 0.500 0.284
5 Ni 0.500 0.000 0.716
6 Ni 0.000 0.500 0.716
7 Pd 0.500 0.500 0.000

Here is a relaxed GdH9C5N2O8 crystal from OQMD. Energies are from PBE-GGA.

## Properties
Crystal system = monoclinic

Cell lengths 6.662, 6.662, 6.528 Å; angles 107.22, 107.22, 64.00 degrees
Positions (direct):
1 C 0.588 0.892 0.042
2 C 0.761 0.423 0.298
3 C 0.127 0.873 0.500
4 C 0.577 0.239 0.702
5 C 0.108 0.412 0.958
6 Gd 0.054 0.946 0.000
7 H 0.215 0.410 0.125
8 H 0.607 0.418 0.177
9 H 0.404 0.146 0.399
10 H 0.560 0.700 0.472
11 H 0.971 0.029 0.500
12 H 0.300 0.440 0.528
13 H 0.854 0.596 0.601
14 H 0.582 0.393 0.823
15 H 0.590 0.785 0.875
16 N 0.724 0.588 0.470
17 N 0.412 0.276 0.530
18 O 0.422 0.934 0.129
19 O 0.744 0.964 0.133
20 O 0.956 0.278 0.269
21 O 0.217 0.793 0.332
22 O 0.207 0.783 0.668
23 O 0.722 0.044 0.731
24 O 0.036 0.256 0.867
25 O 0.066 0.578 0.871

Here is a relaxed PuHfPa crystal from OQMD. Energies are from PBE-GGA.

## Properties
Crystal system = cubic
ΔE_f = 0.748 eV per atom

Cell lengths 4.606, 4.606, 4.606 Å; angles 60.00, 60.00, 60.00 degrees
Positions (direct):
1 Hf 0.250 0.250 0.250
2 Pa 0.750 0.750 0.750
3 Pu 0.000 0.000 0.000

Here is a relaxed RbReN2 crystal from OQMD. Energies are from PBE-GGA.

## Properties
Crystal system = tetragonal

Cell lengths 6.221, 6.221, 6.221 Å; angles 123.67, 123.67, 83.75 degrees
Positions (direct):
1 N 0.875 0.607 0.232
2 N 0.393 0.625 0.268
3 N 0.357 0.125 0.732
4 N 0.375 0.643 0.768
5 Rb 0.000 0.000 0.000
6 Rb 0.750 0.250 0.500
7 Re 0.500 0.500 0.000
8 Re 0.250 0.750 0.500

Here is a relaxed Dy2YAl3CuSi2 crystal from OQMD. Energies are from PBE-GGA.

## Properties
Crystal system = orthorhombic

Cell lengths 4.175, 6.915, 6.915 Å; angles 120.00, 90.00, 90.00 degrees
Positions (direct):
1 Al 0.500 0.762 0.000
2 Al 0.500 0.237 0.237
3 Al 0.500 0.000 0.762
4 Cu 0.000 0.001 0.001
5 Dy 0.000 0.406 0.000
6 Dy 0.000 0.000 0.406
7 Si 0.500 0.667 0.333
8 Si 0.500 0.333 0.667
9 Y 0.000 0.593 0.593

Here is a relaxed ErTm2In3NiGe2 crystal from OQMD. Energies are from PBE-GGA.

## Properties
Crystal system = orthorhombic

Cell lengths 4.198, 7.272, 7.272 Å; angles 120.04, 90.00, 90.00 degrees
Positions (direct):
1 Er 0.000 0.597 0.597
2 Ge 0.500 0.667 0.333
3 Ge 0.500 0.333 0.667
4 In 0.500 0.760 0.000
5 In 0.500 0.241 0.241
6 In 0.500 0.000 0.760
7 Ni 0.000 0.001 0.001
8 Tm 0.000 0.000 0.403
9 Tm 0.000 0.403 0.000

Here is a relaxed LuCoPbW crystal from OQMD. Energies are from PBE-GGA.

## Properties
Crystal system = cubic

Cell lengths 4.734, 4.734, 4.734 Å; angles 60.00, 60.00, 60.00 degrees
Positions (direct):
1 Co 0.750 0.750 0.750
2 Lu 0.500 0.500 0.500
3 Pb 0.000 0.000 0.000
4 W 0.250 0.250 0.250

Here is a relaxed HoTmSi2Ir4 crystal from OQMD. Energies are from PBE-GGA.

## Properties
Crystal system = orthorhombic

Cell lengths 7.010, 5.371, 5.371 Å; angles 41.38, 90.00, 90.00 degrees
Positions (direct):
1 Ho 0.500 0.557 0.557
2 Ir 0.201 0.144 0.144
3 Ir 0.799 0.144 0.144
4 Ir 0.298 0.856 0.856
5 Ir 0.702 0.856 0.856
6 Si 0.500 0.277 0.277
7 Si 0.000 0.723 0.723
8 Tm 0.000 0.443 0.443

Looking at calculated total energy for the records above, in order, we have -8.697; -4.561; -4.267; -3.827; -5.542; -6.501; -10.444; -7.669; -5.246; -4.630; -6.419; -7.766 eV per atom.